Computed, not measured: a relaxed YIr2Os crystal at the PBE level of DFT.

Calculated values
- V: 68.5 Å³/f.u.
- Distance to the lowest polymorph of the same formula: 28 meV per atom
- DOS at the Fermi energy: 7.0 states/eV/cell
- Energy: -8.93 eV per atom

CIF file:
```
data_YIr2Os
_chemical_formula_sum 'Y2 Ir4 Os2'
_cell_length_a 9.4539
_cell_length_b 2.8958
_cell_length_c 5.0975
_cell_angle_alpha 90.00
_cell_angle_beta 100.91
_cell_angle_gamma 90.00
_space_group_name_H-M_alt 'C 1 m 1'
_space_group_IT_number 8
loop_
_space_group_symop_operation_xyz
'x,y,z'
'x,-y,z'
'x+1/2,y+1/2,z'
'x+1/2,-y+1/2,z'
loop_
_atom_site_label
_atom_site_type_symbol
_atom_site_fract_x
_atom_site_fract_y
_atom_site_fract_z
_atom_site_occupancy
Y1 Y 0.0000 0.0000 0.0000 1
Ir1 Ir 0.2414 0.0000 0.7445 1
Ir2 Ir 0.4979 0.0000 0.4833 1
Os1 Os 0.2612 0.5000 0.3260 1
```

Computed, not measured: a relaxed YIrOs crystal at the PBE level of DFT.

Calculated values
- V: 63.7 Å³/f.u.
- Distance to the lowest polymorph of the same formula: 322 meV per atom
- DOS at the Fermi energy: 3.0 states/eV/cell
- Energy: -9.08 eV per atom

CIF file:
```
data_YIrOs
_chemical_formula_sum 'Y1 Ir1 Os1'
_cell_length_a 4.2253
_cell_length_b 4.2253
_cell_length_c 4.1188
_cell_angle_alpha 90.00
_cell_angle_beta 90.00
_cell_angle_gamma 120.00
_space_group_name_H-M_alt 'P -6 m 2'
_space_group_IT_number 187
_space_group_name_Hall 'P -6 2'
loop_
_atom_site_label
_atom_site_type_symbol
_atom_site_fract_x
_atom_site_fract_y
_atom_site_fract_z
_atom_site_occupancy
Y1 Y 0.0000 0.0000 0.0000 1
Ir1 Ir 0.6667 0.3333 0.5000 1
Os1 Os 0.3333 0.6667 0.5000 1
```

Computed, not measured: a relaxed YIrOs crystal at the PBE level of DFT.

Calculated values
- V: 57.1 Å³/f.u.
- Distance to the lowest polymorph of the same formula: 510 meV per atom
- DOS at the Fermi energy: 5.6 states/eV/cell
- Energy: -8.89 eV per atom

CIF file:
```
data_YIrOs
_chemical_formula_sum 'Y2 Ir2 Os2'
_cell_length_a 2.8757
_cell_length_b 3.9221
_cell_length_c 10.1169
_cell_angle_alpha 90.00
_cell_angle_beta 90.00
_cell_angle_gamma 90.00
_space_group_name_H-M_alt 'I m m 2'
_space_group_IT_number 44
loop_
_space_group_symop_operation_xyz
'x,y,z'
'-x,-y,z'
'-x,y,z'
'x,-y,z'
'x+1/2,y+1/2,z+1/2'
'-x+1/2,-y+1/2,z+1/2'
'-x+1/2,y+1/2,z+1/2'
'x+1/2,-y+1/2,z+1/2'
loop_
_atom_site_label
_atom_site_type_symbol
_atom_site_fract_x
_atom_site_fract_y
_atom_site_fract_z
_atom_site_occupancy
Y1 Y 0.0000 0.0000 0.0000 1
Ir1 Ir 0.0000 0.0000 0.7063 1
Os1 Os 0.0000 0.0000 0.2947 1
```

Computed, not measured: a relaxed YIrOs crystal at the PBE level of DFT.

Calculated values
- V: 54.4 Å³/f.u.
- Distance to the lowest polymorph of the same formula: 0 meV per atom
- DOS at the Fermi energy: 18.7 states/eV/cell
- Energy: -9.40 eV per atom

CIF file:
```
data_YIrOs
_chemical_formula_sum 'Y8 Ir8 Os8'
_cell_length_a 8.9063
_cell_length_b 5.3428
_cell_length_c 9.1520
_cell_angle_alpha 90.00
_cell_angle_beta 90.00
_cell_angle_gamma 90.00
_space_group_name_H-M_alt 'A m m 2'
_space_group_IT_number 38
loop_
_space_group_symop_operation_xyz
'x,y,z'
'-x,-y,z'
'-x,y,z'
'x,-y,z'
'x,y+1/2,z+1/2'
'-x,-y+1/2,z+1/2'
'-x,y+1/2,z+1/2'
'x,-y+1/2,z+1/2'
loop_
_atom_site_label
_atom_site_type_symbol
_atom_site_fract_x
_atom_site_fract_y
_atom_site_fract_z
_atom_site_occupancy
Y1 Y 0.1813 0.0000 0.0000 1
Y2 Y 0.3163 0.0000 0.3329 1
Ir1 Ir 0.0000 0.2459 0.2553 1
Ir2 Ir 0.2490 0.0000 0.6639 1
Os1 Os 0.0000 0.0000 0.4975 1
Os2 Os 0.5000 0.0000 0.8414 1
Os3 Os 0.5000 0.2450 0.0821 1
```

Computed, not measured: a relaxed YIr2Os crystal at the PBE level of DFT.

Calculated values
- V: 70.9 Å³/f.u.
- Distance to the lowest polymorph of the same formula: 265 meV per atom
- DOS at the Fermi energy: 5.8 states/eV/cell
- Energy: -8.70 eV per atom

CIF file:
```
data_YIr2Os
_chemical_formula_sum 'Y1 Ir2 Os1'
_cell_length_a 3.3336
_cell_length_b 3.3336
_cell_length_c 6.3842
_cell_angle_alpha 90.00
_cell_angle_beta 90.00
_cell_angle_gamma 90.00
_space_group_name_H-M_alt 'P 4 m m'
_space_group_IT_number 99
loop_
_space_group_symop_operation_xyz
'x,y,z'
'-y,x,z'
'-x,-y,z'
'y,-x,z'
'-x,y,z'
'y,x,z'
'x,-y,z'
'-y,-x,z'
loop_
_atom_site_label
_atom_site_type_symbol
_atom_site_fract_x
_atom_site_fract_y
_atom_site_fract_z
_atom_site_occupancy
Y1 Y 0.0000 0.0000 0.0000 1
Ir1 Ir 0.0000 0.0000 0.5098 1
Ir2 Ir 0.5000 0.5000 0.2722 1
Os1 Os 0.5000 0.5000 0.6889 1
```

Computed, not measured: a relaxed YIrOs2 crystal at the PBE level of DFT.

Calculated values
- V: 68.5 Å³/f.u.
- Distance to the lowest polymorph of the same formula: 80 meV per atom
- DOS at the Fermi energy: 8.7 states/eV/cell
- Energy: -9.32 eV per atom

CIF file:
```
data_YIrOs2
_chemical_formula_sum 'Y2 Ir2 Os4'
_cell_length_a 9.5897
_cell_length_b 2.8954
_cell_length_c 5.0352
_cell_angle_alpha 90.00
_cell_angle_beta 101.61
_cell_angle_gamma 90.00
_space_group_name_H-M_alt 'C 1 2/m 1'
_space_group_IT_number 12
loop_
_space_group_symop_operation_xyz
'x,y,z'
'-x,-y,-z'
'-x,y,-z'
'x,-y,z'
'x+1/2,y+1/2,z'
'-x+1/2,-y+1/2,-z'
'-x+1/2,y+1/2,-z'
'x+1/2,-y+1/2,z'
loop_
_atom_site_label
_atom_site_type_symbol
_atom_site_fract_x
_atom_site_fract_y
_atom_site_fract_z
_atom_site_occupancy
Y1 Y 0.0000 0.0000 0.0000 1
Ir1 Ir 0.0000 0.5000 0.5000 1
Os1 Os 0.2341 0.0000 0.7046 1
```

Computed, not measured: a relaxed YIrOs2 crystal at the PBE level of DFT.

Calculated values
- V: 67.1 Å³/f.u.
- Distance to the lowest polymorph of the same formula: 175 meV per atom
- DOS at the Fermi energy: 9.4 states/eV/cell
- Energy: -9.22 eV per atom

CIF file:
```
data_YIrOs2
_chemical_formula_sum 'Y2 Ir2 Os4'
_cell_length_a 4.0779
_cell_length_b 4.0779
_cell_length_c 8.0696
_cell_angle_alpha 90.00
_cell_angle_beta 90.00
_cell_angle_gamma 90.00
_space_group_name_H-M_alt 'I -4 m 2'
_space_group_IT_number 119
_space_group_name_Hall 'I -4 -2'
loop_
_atom_site_label
_atom_site_type_symbol
_atom_site_fract_x
_atom_site_fract_y
_atom_site_fract_z
_atom_site_occupancy
Y1 Y 0.0000 0.0000 0.0000 1
Ir1 Ir 0.0000 0.5000 0.7500 1
Os1 Os 0.0000 0.0000 0.5000 1
Os2 Os 0.0000 0.5000 0.2500 1
```

Computed, not measured: a relaxed YIrOs2 crystal at the PBE level of DFT.

Calculated values
- V: 68.5 Å³/f.u.
- Distance to the lowest polymorph of the same formula: 128 meV per atom
- DOS at the Fermi energy: 8.4 states/eV/cell
- Energy: -9.27 eV per atom

CIF file:
```
data_YIrOs2
_chemical_formula_sum 'Y2 Ir2 Os4'
_cell_length_a 2.8613
_cell_length_b 4.6430
_cell_length_c 10.3062
_cell_angle_alpha 90.00
_cell_angle_beta 90.00
_cell_angle_gamma 90.00
_space_group_name_H-M_alt 'I m m m'
_space_group_IT_number 71
_space_group_name_Hall '-I 2 2'
loop_
_atom_site_label
_atom_site_type_symbol
_atom_site_fract_x
_atom_site_fract_y
_atom_site_fract_z
_atom_site_occupancy
Y1 Y 0.0000 0.0000 0.0000 1
Ir1 Ir 0.0000 0.0000 0.5000 1
Os1 Os 0.0000 0.5000 0.2208 1
```

Computed, not measured: a relaxed YIr2Os crystal at the PBE level of DFT.

Calculated values
- V: 66.7 Å³/f.u.
- Distance to the lowest polymorph of the same formula: 409 meV per atom
- DOS at the Fermi energy: 25.5 states/eV/cell
- Energy: -8.55 eV per atom

CIF file:
```
data_YIr2Os
_chemical_formula_sum 'Y3 Ir6 Os3'
_cell_length_a 2.8594
_cell_length_b 2.8594
_cell_length_c 28.2687
_cell_angle_alpha 90.00
_cell_angle_beta 90.00
_cell_angle_gamma 120.00
_space_group_name_H-M_alt 'R -3 m'
_space_group_IT_number 166
_space_group_name_Hall '-R 3 2"'
loop_
_atom_site_label
_atom_site_type_symbol
_atom_site_fract_x
_atom_site_fract_y
_atom_site_fract_z
_atom_site_occupancy
Y1 Y 0.0000 0.0000 0.0000 1
Ir1 Ir 0.0000 0.0000 0.2423 1
Os1 Os 0.0000 0.0000 0.5000 1
```

Computed, not measured: a relaxed YIrOs2 crystal at the PBE level of DFT.

Calculated values
- V: 66.6 Å³/f.u.
- Distance to the lowest polymorph of the same formula: 380 meV per atom
- DOS at the Fermi energy: 24.2 states/eV/cell
- Energy: -9.02 eV per atom

CIF file:
```
data_YIrOs2
_chemical_formula_sum 'Y3 Ir3 Os6'
_cell_length_a 2.8372
_cell_length_b 2.8372
_cell_length_c 28.6443
_cell_angle_alpha 90.00
_cell_angle_beta 90.00
_cell_angle_gamma 120.00
_space_group_name_H-M_alt 'R 3 m'
_space_group_IT_number 160
_space_group_name_Hall 'R 3 -2"'
loop_
_atom_site_label
_atom_site_type_symbol
_atom_site_fract_x
_atom_site_fract_y
_atom_site_fract_z
_atom_site_occupancy
Y1 Y 0.0000 0.0000 0.0000 1
Ir1 Ir 0.0000 0.0000 0.7567 1
Os1 Os 0.0000 0.0000 0.2398 1
Os2 Os 0.0000 0.0000 0.5003 1
```